A relaxed structure of CuReSeN2, computed with GGA-PBE.

Summary:
Space-group type   P4/mmm
Energy above the most stable polymorph in this dataset   1539 meV/atom

Unit cell a=3.720 b=3.720 c=4.830 alpha=90.00 beta=90.00 gamma=90.00
Element x y z (fractional)
Cu (0.000, 0.000, 0.000)
Re (0.500, 0.500, 0.500)
Se (0.000, 0.000, 0.500)
N (0.000, 0.500, 0.000)
N (0.500, 0.000, 0.000)

=====

A relaxed structure of CuReSeN2, computed with GGA-PBE.

Summary:
Space-group type   P4/mmm
Energy above the most stable polymorph in this dataset   0 meV/atom

Unit cell a=3.789 b=3.789 c=5.486 alpha=90.00 beta=90.00 gamma=90.00
Element x y z (fractional)
Cu (0.000, 0.000, 0.000)
Re (0.500, 0.500, 0.500)
Se (0.500, 0.500, 0.000)
N (0.000, 0.500, 0.500)
N (0.500, 0.000, 0.500)

=====

A relaxed structure of CuReTeN2, computed with GGA-PBE.

Summary:
Space-group type   P4/mmm
Energy above the most stable polymorph in this dataset   1611 meV/atom

Unit cell a=3.857 b=3.857 c=5.409 alpha=90.00 beta=90.00 gamma=90.00
Element x y z (fractional)
Cu (0.000, 0.000, 0.000)
Re (0.500, 0.500, 0.500)
Te (0.000, 0.000, 0.500)
N (0.000, 0.500, 0.000)
N (0.500, 0.000, 0.000)

=====

A relaxed structure of CuReTeN2, computed with GGA-PBE.

Summary:
Space-group type   P4/mmm
Energy above the most stable polymorph in this dataset   0 meV/atom

Unit cell a=3.822 b=3.822 c=5.818 alpha=90.00 beta=90.00 gamma=90.00
Element x y z (fractional)
Cu (0.000, 0.000, 0.000)
Re (0.500, 0.500, 0.500)
Te (0.500, 0.500, 0.000)
N (0.000, 0.500, 0.500)
N (0.500, 0.000, 0.500)

=====

A relaxed structure of CuRhN, computed with GGA-PBE.

Summary:
Space-group type   P2_1/m
Final energy   -6.148 eV/atom

Unit cell a=2.794 b=2.756 c=9.269 alpha=90.00 beta=90.29 gamma=90.00
Element x y z (fractional)
Cu (0.247, 0.250, 0.405)
Cu (0.753, 0.750, 0.595)
Rh (0.252, 0.250, 0.888)
Rh (0.748, 0.750, 0.112)
N (0.250, 0.750, 0.259)
N (0.750, 0.250, 0.741)

=====

A relaxed structure of CuRhN3, computed with GGA-PBE.

Summary:
Space-group type   Pm-3m
Final energy   -5.194 eV/atom

Unit cell a=3.689 b=3.689 c=3.689 alpha=90.00 beta=90.00 gamma=90.00
Element x y z (fractional)
Cu (0.000, 0.000, 0.000)
Rh (0.500, 0.500, 0.500)
N (0.000, 0.000, 0.500)
N (0.000, 0.500, 0.000)
N (0.500, 0.000, 0.000)